Here is a relaxed ZrAlV crystal from Alexandria via LeMat-Bulk. Energies are from PBE-GGA.

```
ZrAlV
1.0
-4.193 -0.139 1.202
0.267 -3.423 0.535
3.692 2.343 13.150
Al V Zr
4 4 4
direct
0.000 0.000 0.372 Al
0.000 0.500 0.221 Al
0.000 0.000 0.721 Al
0.000 0.500 0.872 Al
0.500 0.000 0.498 V
0.500 0.500 0.367 V
0.500 0.500 0.998 V
0.500 0.000 0.867 V
0.000 0.500 0.538 Zr
0.000 0.000 0.038 Zr
0.500 0.500 0.704 Zr
0.500 0.000 0.204 Zr
```

## Properties
DFT formation energy (meV per atom): -148
Relative energy among the computed polymorphs (eV/atom): 0.141
Mass density (g/cm3): 5.35
V (Å³ per atom): 17.51



Here is a relaxed Sm2ThBe crystal from Alexandria via LeMat-Bulk. Energies are from PBE-GGA.

```
Sm2ThBe
1.0
3.522 0.000 0.000
0.000 3.522 0.000
0.000 0.000 8.620
Sm Be Th
2 1 1
direct
0.000 0.000 0.200 Sm
0.000 0.000 0.800 Sm
0.500 0.500 0.000 Be
0.500 0.500 0.500 Th
```

## Properties
DFT formation energy (meV per atom): 120
Relative energy among the computed polymorphs (eV/atom): 0.000
Mass density (g/cm3): 8.41
V (Å³ per atom): 26.74



Here is a relaxed Ba3Zn2SbO8 crystal from Alexandria via LeMat-Bulk. Energies are from PBE-GGA.

```
Ba3Zn2SbO8
1.0
-5.434 -2.249 -0.015
3.295 -0.239 -4.865
2.790 -6.755 2.221
Sb O Zn Ba
1 8 2 3
direct
0.000 0.000 0.500 Sb
0.684 0.842 0.341 O
0.158 0.316 0.341 O
0.316 0.158 0.659 O
0.158 0.842 0.341 O
0.333 0.667 0.982 O
0.842 0.684 0.659 O
0.842 0.158 0.659 O
0.667 0.333 0.018 O
0.667 0.333 0.775 Zn
0.333 0.667 0.225 Zn
0.667 0.333 0.348 Ba
0.333 0.667 0.652 Ba
0.000 0.000 0.000 Ba
```

## Properties
Mass density (g/cm3): 5.75
Formation energy (no corrections) (eV per atom): -1.89
V (Å³ per atom): 16.34



Here is a relaxed HgMoRu3 crystal from Alexandria via LeMat-Bulk. Energies are from PBE-GGA.

```
HgMoRu3
1.0
4.773 0.000 0.000
0.000 4.773 0.000
0.000 0.000 4.773
Hg Mo Ru
1 1 3
direct
0.000 0.000 0.000 Hg
0.500 0.500 0.500 Mo
0.000 0.500 0.000 Ru
0.500 0.000 0.000 Ru
0.000 0.000 0.500 Ru
```

## Properties
DFT formation energy (meV per atom): 2788
Relative energy among the computed polymorphs (eV/atom): 1.286
Mass density (g/cm3): 9.16
V (Å³ per atom): 21.75